Entry from Alexandria via LeMat-Bulk: Ho4OsI5 after structural relaxation (PBE).

Computed properties:
- uncorrected formation energy (eV per atom) = -1.01
- DFT total energy (hartree per atom) = -0.174

Geometry as CIF:
```
data_Ho4OsI5
_chemical_formula_sum 'Ho4 Os1 I5'
_symmetry_space_group_name_H-M 'P 1'
_symmetry_Int_Tables_number 1
_symmetry_space_group_name_Hall 'P 1'
_cell_length_a 4.130
_cell_length_b 8.978
_cell_length_c 9.944
_cell_angle_alpha 102.55
_cell_angle_beta 101.98
_cell_angle_gamma 90.00
loop_
_atom_site_label
_atom_site_type_symbol
_atom_site_fract_x
_atom_site_fract_y
_atom_site_fract_z
Ho1 Ho 0.361 0.928 0.721
Ho2 Ho 0.000 0.797 0.999
Ho3 Ho 0.639 0.072 0.279
Ho4 Ho 0.000 0.203 0.001
Os1 Os 0.500 0.000 0.000
I1 I 0.832 0.662 0.664
I2 I 0.824 0.165 0.648
I3 I 0.176 0.835 0.352
I4 I 0.500 0.500 0.000
I5 I 0.168 0.338 0.336
```

Entry from Alexandria via LeMat-Bulk: Ir3Ru after structural relaxation (PBE).

Computed properties:
- DFT total energy (hartree per atom) = -0.330
- energy of formation (eV per atom) = -0.02

Geometry as CIF:
```
data_Ir3Ru
_chemical_formula_sum 'Ir3 Ru1'
_symmetry_space_group_name_H-M 'P 1'
_symmetry_Int_Tables_number 1
_symmetry_space_group_name_Hall 'P 1'
_cell_length_a 2.726
_cell_length_b 2.726
_cell_length_c 7.727
_cell_angle_alpha 90.00
_cell_angle_beta 90.00
_cell_angle_gamma 90.00
loop_
_atom_site_label
_atom_site_type_symbol
_atom_site_fract_x
_atom_site_fract_y
_atom_site_fract_z
Ru1 Ru 0.500 0.500 0.250
Ir1 Ir 0.000 0.000 0.003
Ir2 Ir 0.000 0.000 0.497
Ir3 Ir 0.500 0.500 0.750
```

Entry from Alexandria via LeMat-Bulk: LaCrRe2 after structural relaxation (PBE).

Computed properties:
- DFT total energy (hartree per atom) = -0.340
- E above lowest polymorph (meV/atom) = 257
- energy of formation (eV per atom) = 0.60

Geometry as CIF:
```
data_LaCrRe2
_chemical_formula_sum 'La1 Cr1 Re2'
_symmetry_space_group_name_H-M 'P 1'
_symmetry_Int_Tables_number 1
_symmetry_space_group_name_Hall 'P 1'
_cell_length_a 2.831
_cell_length_b 2.831
_cell_length_c 9.376
_cell_angle_alpha 90.00
_cell_angle_beta 90.00
_cell_angle_gamma 113.11
loop_
_atom_site_label
_atom_site_type_symbol
_atom_site_fract_x
_atom_site_fract_y
_atom_site_fract_z
Cr1 Cr 0.000 0.000 0.461
La1 La 0.500 0.500 0.744
Re1 Re 0.000 0.000 0.033
Re2 Re 0.500 0.500 0.262
```

Entry from Alexandria via LeMat-Bulk: YTmMg2Ag4 after structural relaxation (PBE).

Computed properties:
- DFT total energy (hartree per atom) = -0.128
- energy of formation (eV per atom) = -0.30

Geometry as CIF:
```
data_YTmMg2Ag4
_chemical_formula_sum 'Y1 Tm1 Mg2 Ag4'
_symmetry_space_group_name_H-M 'P 1'
_symmetry_Int_Tables_number 1
_symmetry_space_group_name_Hall 'P 1'
_cell_length_a 4.944
_cell_length_b 4.944
_cell_length_c 8.503
_cell_angle_alpha 73.10
_cell_angle_beta 73.10
_cell_angle_gamma 60.00
loop_
_atom_site_label
_atom_site_type_symbol
_atom_site_fract_x
_atom_site_fract_y
_atom_site_fract_z
Y1 Y 0.000 0.000 0.000
Tm1 Tm 0.500 0.500 0.500
Mg1 Mg 0.750 0.750 0.750
Mg2 Mg 0.250 0.250 0.250
Ag1 Ag 0.376 0.376 0.872
Ag2 Ag 0.873 0.873 0.381
Ag3 Ag 0.127 0.127 0.619
Ag4 Ag 0.624 0.624 0.128
```

Entry from Alexandria via LeMat-Bulk: ScGa3Fe3 after structural relaxation (PBE).

Computed properties:
- DFT total energy (hartree per atom) = -0.216
- E above lowest polymorph (meV/atom) = 0
- energy of formation (eV per atom) = -0.05

Geometry as CIF:
```
data_ScGa3Fe3
_chemical_formula_sum 'Sc2 Ga6 Fe6'
_symmetry_space_group_name_H-M 'P 1'
_symmetry_Int_Tables_number 1
_symmetry_space_group_name_Hall 'P 1'
_cell_length_a 4.460
_cell_length_b 7.228
_cell_length_c 7.228
_cell_angle_alpha 120.00
_cell_angle_beta 90.00
_cell_angle_gamma 90.00
loop_
_atom_site_label
_atom_site_type_symbol
_atom_site_fract_x
_atom_site_fract_y
_atom_site_fract_z
Sc1 Sc 0.250 0.667 0.333
Sc2 Sc 0.750 0.333 0.667
Ga1 Ga 0.750 0.228 0.244
Ga2 Ga 0.750 0.016 0.772
Ga3 Ga 0.250 0.244 0.016
Ga4 Ga 0.750 0.756 0.984
Ga5 Ga 0.250 0.984 0.228
Ga6 Ga 0.250 0.772 0.756
Fe1 Fe 0.750 0.448 0.067
Fe2 Fe 0.750 0.619 0.552
Fe3 Fe 0.250 0.067 0.619
Fe4 Fe 0.750 0.933 0.381
Fe5 Fe 0.250 0.381 0.448
Fe6 Fe 0.250 0.552 0.933
```

Entry from Alexandria via LeMat-Bulk: AsPAu after structural relaxation (PBE).

Computed properties:
- DFT total energy (hartree per atom) = -0.145
- E above lowest polymorph (meV/atom) = 170
- energy of formation (eV per atom) = 0.51

Geometry as CIF:
```
data_AsPAu
_chemical_formula_sum 'As1 P1 Au1'
_symmetry_space_group_name_H-M 'P 1'
_symmetry_Int_Tables_number 1
_symmetry_space_group_name_Hall 'P 1'
_cell_length_a 2.933
_cell_length_b 2.933
_cell_length_c 7.422
_cell_angle_alpha 90.00
_cell_angle_beta 90.00
_cell_angle_gamma 120.00
loop_
_atom_site_label
_atom_site_type_symbol
_atom_site_fract_x
_atom_site_fract_y
_atom_site_fract_z
As1 As 0.000 0.000 0.022
Au1 Au 0.667 0.333 0.345
P1 P 0.333 0.667 0.633
```

Entry from Alexandria via LeMat-Bulk: YSCl2F after structural relaxation (PBE).

Computed properties:
- uncorrected formation energy (eV per atom) = -1.16
- DFT total energy (hartree per atom) = -0.161
- E above lowest polymorph (meV/atom) = 0

Geometry as CIF:
```
data_YSCl2F
_chemical_formula_sum 'Y1 S1 Cl2 F1'
_symmetry_space_group_name_H-M 'P 1'
_symmetry_Int_Tables_number 1
_symmetry_space_group_name_Hall 'P 1'
_cell_length_a 5.166
_cell_length_b 5.166
_cell_length_c 5.628
_cell_angle_alpha 90.00
_cell_angle_beta 90.00
_cell_angle_gamma 90.00
loop_
_atom_site_label
_atom_site_type_symbol
_atom_site_fract_x
_atom_site_fract_y
_atom_site_fract_z
Y1 Y 0.000 0.000 0.000
S1 S 0.000 0.000 0.500
F1 F 0.500 0.500 0.500
Cl1 Cl 0.000 0.500 0.000
Cl2 Cl 0.500 0.000 0.000
```

Entry from Alexandria via LeMat-Bulk: PmPr2Au6 after structural relaxation (PBE).

Computed properties:
- DFT total energy (hartree per atom) = -0.164
- E above lowest polymorph (meV/atom) = 62
- energy of formation (eV per atom) = -0.69

Geometry as CIF:
```
data_PmPr2Au6
_chemical_formula_sum 'Pm1 Pr2 Au6'
_symmetry_space_group_name_H-M 'P 1'
_symmetry_Int_Tables_number 1
_symmetry_space_group_name_Hall 'P 1'
_cell_length_a 3.759
_cell_length_b 8.643
_cell_length_c 8.643
_cell_angle_alpha 53.53
_cell_angle_beta 77.44
_cell_angle_gamma 77.44
loop_
_atom_site_label
_atom_site_type_symbol
_atom_site_fract_x
_atom_site_fract_y
_atom_site_fract_z
Pm1 Pm 0.500 0.500 0.500
Pr1 Pr 0.359 0.141 0.141
Pr2 Pr 0.641 0.859 0.859
Au1 Au 0.175 0.508 0.141
Au2 Au 0.825 0.492 0.859
Au3 Au 0.825 0.859 0.492
Au4 Au 0.000 0.186 0.814
Au5 Au 0.000 0.814 0.186
Au6 Au 0.175 0.141 0.508
```

Entry from Alexandria via LeMat-Bulk: Ca3PbSe after structural relaxation (PBE).

Computed properties:
- uncorrected formation energy (eV per atom) = -0.93
- DFT total energy (hartree per atom) = -0.131
- E above lowest polymorph (meV/atom) = 0

Geometry as CIF:
```
data_Ca3PbSe
_chemical_formula_sum 'Ca3 Pb1 Se1'
_symmetry_space_group_name_H-M 'P 1'
_symmetry_Int_Tables_number 1
_symmetry_space_group_name_Hall 'P 1'
_cell_length_a 5.499
_cell_length_b 5.499
_cell_length_c 5.499
_cell_angle_alpha 90.00
_cell_angle_beta 90.00
_cell_angle_gamma 90.00
loop_
_atom_site_label
_atom_site_type_symbol
_atom_site_fract_x
_atom_site_fract_y
_atom_site_fract_z
Pb1 Pb 0.500 0.500 0.500
Ca1 Ca 0.000 0.500 0.000
Ca2 Ca 0.000 0.000 0.500
Ca3 Ca 0.500 0.000 0.000
Se1 Se 0.000 0.000 0.000
```

Entry from Alexandria via LeMat-Bulk: Ac4Mg5Ag2 after structural relaxation (PBE).

Computed properties:
- DFT total energy (hartree per atom) = -0.104
- energy of formation (eV per atom) = -0.09

Geometry as CIF:
```
data_Ac4Mg5Ag2
_chemical_formula_sum 'Ac4 Mg5 Ag2'
_symmetry_space_group_name_H-M 'P 1'
_symmetry_Int_Tables_number 1
_symmetry_space_group_name_Hall 'P 1'
_cell_length_a 4.026
_cell_length_b 8.282
_cell_length_c 10.595
_cell_angle_alpha 93.43
_cell_angle_beta 90.00
_cell_angle_gamma 90.00
loop_
_atom_site_label
_atom_site_type_symbol
_atom_site_fract_x
_atom_site_fract_y
_atom_site_fract_z
Ac1 Ac 0.500 0.746 0.554
Ac2 Ac 0.500 0.165 0.873
Ac3 Ac 0.500 0.254 0.446
Ac4 Ac 0.500 0.835 0.127
Mg1 Mg 0.000 0.559 0.298
Mg2 Mg 0.000 0.199 0.162
Mg3 Mg 0.000 0.500 0.000
Mg4 Mg 0.000 0.801 0.838
Mg5 Mg 0.000 0.441 0.702
Ag1 Ag 0.000 0.059 0.638
Ag2 Ag 0.000 0.941 0.362
```

Entry from Alexandria via LeMat-Bulk: Ca2GaF after structural relaxation (PBE).

Computed properties:
- uncorrected formation energy (eV per atom) = -1.05
- DFT total energy (hartree per atom) = -0.120
- E above lowest polymorph (meV/atom) = 434

Geometry as CIF:
```
data_Ca2GaF
_chemical_formula_sum 'Ca2 Ga1 F1'
_symmetry_space_group_name_H-M 'P 1'
_symmetry_Int_Tables_number 1
_symmetry_space_group_name_Hall 'P 1'
_cell_length_a 5.109
_cell_length_b 5.109
_cell_length_c 5.109
_cell_angle_alpha 60.00
_cell_angle_beta 60.00
_cell_angle_gamma 60.00
loop_
_atom_site_label
_atom_site_type_symbol
_atom_site_fract_x
_atom_site_fract_y
_atom_site_fract_z
Ca1 Ca 0.250 0.250 0.250
Ca2 Ca 0.750 0.750 0.750
Ga1 Ga 0.500 0.500 0.500
F1 F 0.000 0.000 0.000
```

Entry from Alexandria via LeMat-Bulk: La2BeAl after structural relaxation (PBE).

Computed properties:
- DFT total energy (hartree per atom) = -0.160
- E above lowest polymorph (meV/atom) = 80
- energy of formation (eV per atom) = -0.03

Geometry as CIF:
```
data_La2BeAl
_chemical_formula_sum 'La2 Be1 Al1'
_symmetry_space_group_name_H-M 'P 1'
_symmetry_Int_Tables_number 1
_symmetry_space_group_name_Hall 'P 1'
_cell_length_a 5.257
_cell_length_b 5.257
_cell_length_c 5.257
_cell_angle_alpha 60.00
_cell_angle_beta 60.00
_cell_angle_gamma 60.00
loop_
_atom_site_label
_atom_site_type_symbol
_atom_site_fract_x
_atom_site_fract_y
_atom_site_fract_z
Be1 Be 0.000 0.000 0.000
Al1 Al 0.500 0.500 0.500
La1 La 0.250 0.250 0.250
La2 La 0.750 0.750 0.750
```

Entry from Alexandria via LeMat-Bulk: KSr2MgGa after structural relaxation (PBE).

Computed properties:
- DFT total energy (hartree per atom) = -0.067
- energy of formation (eV per atom) = -0.01

Geometry as CIF:
```
data_KSr2MgGa
_chemical_formula_sum 'K1 Sr2 Mg1 Ga1'
_symmetry_space_group_name_H-M 'P 1'
_symmetry_Int_Tables_number 1
_symmetry_space_group_name_Hall 'P 1'
_cell_length_a 6.380
_cell_length_b 6.380
_cell_length_c 5.325
_cell_angle_alpha 90.00
_cell_angle_beta 90.00
_cell_angle_gamma 90.00
loop_
_atom_site_label
_atom_site_type_symbol
_atom_site_fract_x
_atom_site_fract_y
_atom_site_fract_z
Sr1 Sr 0.000 0.500 0.000
Sr2 Sr 0.500 0.000 0.000
K1 K 0.500 0.500 0.500
Mg1 Mg 0.000 0.000 0.500
Ga1 Ga 0.000 0.000 0.000
```

Entry from Alexandria via LeMat-Bulk: ZrCl after structural relaxation (PBE).

Computed properties:
- uncorrected formation energy (eV per atom) = -1.02
- DFT total energy (hartree per atom) = -0.228

Geometry as CIF:
```
data_ZrCl
_chemical_formula_sum 'Zr2 Cl2'
_symmetry_space_group_name_H-M 'P 1'
_symmetry_Int_Tables_number 1
_symmetry_space_group_name_Hall 'P 1'
_cell_length_a 3.222
_cell_length_b 3.222
_cell_length_c 9.682
_cell_angle_alpha 90.00
_cell_angle_beta 90.00
_cell_angle_gamma 106.52
loop_
_atom_site_label
_atom_site_type_symbol
_atom_site_fract_x
_atom_site_fract_y
_atom_site_fract_z
Cl1 Cl 0.000 0.000 0.066
Cl2 Cl 0.500 0.500 0.684
Zr1 Zr 0.000 0.000 0.498
Zr2 Zr 0.500 0.500 0.252
```

Entry from Alexandria via LeMat-Bulk: Mg3GeO after structural relaxation (PBE).

Computed properties:
- uncorrected formation energy (eV per atom) = 0.09
- DFT total energy (hartree per atom) = -0.102
- E above lowest polymorph (meV/atom) = 1171

Geometry as CIF:
```
data_Mg3GeO
_chemical_formula_sum 'Mg3 Ge1 O1'
_symmetry_space_group_name_H-M 'P 1'
_symmetry_Int_Tables_number 1
_symmetry_space_group_name_Hall 'P 1'
_cell_length_a 4.878
_cell_length_b 4.878
_cell_length_c 4.878
_cell_angle_alpha 90.00
_cell_angle_beta 90.00
_cell_angle_gamma 90.00
loop_
_atom_site_label
_atom_site_type_symbol
_atom_site_fract_x
_atom_site_fract_y
_atom_site_fract_z
Ge1 Ge 0.000 0.000 0.000
Mg1 Mg 0.000 0.500 0.000
Mg2 Mg 0.000 0.000 0.500
Mg3 Mg 0.500 0.000 0.000
O1 O 0.500 0.500 0.500
```

Entry from Alexandria via LeMat-Bulk: PmEuO2 after structural relaxation (PBE).

Computed properties:
- uncorrected formation energy (eV per atom) = -2.78
- DFT total energy (hartree per atom) = -0.331

Geometry as CIF:
```
data_PmEuO2
_chemical_formula_sum 'Pm1 Eu1 O2'
_symmetry_space_group_name_H-M 'P 1'
_symmetry_Int_Tables_number 1
_symmetry_space_group_name_Hall 'P 1'
_cell_length_a 3.543
_cell_length_b 3.543
_cell_length_c 6.204
_cell_angle_alpha 73.41
_cell_angle_beta 73.41
_cell_angle_gamma 60.00
loop_
_atom_site_label
_atom_site_type_symbol
_atom_site_fract_x
_atom_site_fract_y
_atom_site_fract_z
Eu1 Eu 0.500 0.500 0.500
O1 O 0.253 0.253 0.242
O2 O 0.747 0.747 0.758
Pm1 Pm 0.000 0.000 0.000
```

Entry from Alexandria via LeMat-Bulk: Mn2C after structural relaxation (PBE).

Computed properties:
- DFT total energy (hartree per atom) = -0.325
- energy of formation (eV per atom) = 0.36

Geometry as CIF:
```
data_Mn2C
_chemical_formula_sum 'Mn2 C1'
_symmetry_space_group_name_H-M 'P 1'
_symmetry_Int_Tables_number 1
_symmetry_space_group_name_Hall 'P 1'
_cell_length_a 2.664
_cell_length_b 2.664
_cell_length_c 5.010
_cell_angle_alpha 90.00
_cell_angle_beta 90.00
_cell_angle_gamma 120.00
loop_
_atom_site_label
_atom_site_type_symbol
_atom_site_fract_x
_atom_site_fract_y
_atom_site_fract_z
C1 C 0.333 0.667 0.500
Mn1 Mn 0.000 0.000 0.248
Mn2 Mn 0.000 0.000 0.752
```

Entry from Alexandria via LeMat-Bulk: SnHPd after structural relaxation (PBE).

Computed properties:
- DFT total energy (hartree per atom) = -0.153
- E above lowest polymorph (meV/atom) = 135

Geometry as CIF:
```
data_SnHPd
_chemical_formula_sum 'Sn1 H1 Pd1'
_symmetry_space_group_name_H-M 'P 1'
_symmetry_Int_Tables_number 1
_symmetry_space_group_name_Hall 'P 1'
_cell_length_a 3.876
_cell_length_b 3.876
_cell_length_c 4.256
_cell_angle_alpha 117.09
_cell_angle_beta 117.09
_cell_angle_gamma 90.00
loop_
_atom_site_label
_atom_site_type_symbol
_atom_site_fract_x
_atom_site_fract_y
_atom_site_fract_z
H1 H 0.930 0.930 0.860
Sn1 Sn 0.246 0.246 0.492
Pd1 Pd 0.674 0.674 0.348
```